The following is a DFT calculation (meta-GGA SCAN) of a PBEsol-optimized structure of La3ScO.

## Properties
Uncorrected formation energy: -6.311 eV per formula unit

Unit cell a=5.0335 b=5.0335 c=5.0335 alpha=90.00 beta=90.00 gamma=90.00
Last column: nearest neighbours and their distance in Å.
Space group Pm-3m (No. 221)
Symmetry-distinct sites (fractional):
La (0.0000, 0.0000, 0.5000) (multiplicity 3)  2 O 2.52
Sc (0.5000, 0.5000, 0.5000) (multiplicity 1)  12 La 3.56
O (0.0000, 0.0000, 0.0000) (multiplicity 1)  6 La 2.52

The following is a DFT calculation (meta-GGA SCAN) of a PBEsol-optimized structure of LaBeRe2.

## Properties
Energy of formation: 98 kJ per mole of atoms

Unit cell a=5.5717 b=9.2943 c=2.6360 alpha=90.00 beta=90.00 gamma=90.00
Last column: nearest neighbours and their distance in Å.
Space group Cmmm (No. 65)
Symmetry-distinct sites (fractional):
La (0.0000, 0.0000, 0.0000) (multiplicity 2)  2 La 2.64, 2 Be 2.79
Be (0.0000, 0.5000, 0.0000) (multiplicity 2)  2 Be 2.64, 2 La 2.79
Re (0.2500, 0.2500, 0.5000) (multiplicity 4)  4 Re 2.64-2.79

The following is a DFT calculation (meta-GGA SCAN) of a PBEsol-optimized structure of ReHgTe2.

## Properties
Uncorrected formation energy: 3.015 eV per formula unit

Unit cell a=3.0477 b=3.0477 c=35.3233 alpha=90.00 beta=90.00 gamma=120.00
Last column: nearest neighbours and their distance in Å.
Space group R-3m (No. 166, hexagonal axes)
Symmetry-distinct sites (fractional):
Re (0.0000, 0.0000, 0.0000) (multiplicity 3)  2 Te 2.62
Hg (0.0000, 0.0000, 0.5000) (multiplicity 3)  6 Hg 3.05
Te (0.0000, 0.0000, 0.0741) (multiplicity 6)  1 Re 2.62

The following is a DFT calculation (meta-GGA SCAN) of a PBEsol-optimized structure of ScCdAs2.

## Properties
Energy of formation: -8 kJ per mole of atoms

Unit cell a=6.8054 b=6.8054 c=6.8054 alpha=90.00 beta=90.00 gamma=90.00
Last column: nearest neighbours and their distance in Å.
Space group F-43m (No. 216)
Symmetry-distinct sites (fractional):
Sc (0.0000, 0.0000, 0.0000) (multiplicity 4)  4 Cd 2.95, 4 As 2.95
Cd (0.2500, 0.2500, 0.2500) (multiplicity 4)  4 As 2.95, 4 Sc 2.95
As (0.0000, 0.0000, 0.5000) (multiplicity 4)  4 As 2.95, 4 Cd 2.95
As (0.2500, 0.2500, 0.7500) (multiplicity 4)  4 As 2.95, 4 Sc 2.95

The following is a DFT calculation (meta-GGA SCAN) of a PBEsol-optimized structure of Re2TcTe.

## Properties
Uncorrected formation energy: 2.674 eV per formula unit

Unit cell a=2.9174 b=4.0627 c=5.4911 alpha=90.00 beta=97.61 gamma=90.00
Last column: nearest neighbours and their distance in Å.
Space group P2/m (No. 10)
Symmetry-distinct sites (fractional):
Re (0.0520, 0.0000, 0.2250) (multiplicity 2)  1 Re 2.45
Tc (0.5000, 0.5000, 0.0000) (multiplicity 1)  2 Te 2.75, 8 Re 2.78-2.79, 2 Tc 2.92
Te (0.5000, 0.5000, 0.5000) (multiplicity 1)  2 Tc 2.75, 4 Re 2.76, 2 Te 2.92

The following is a DFT calculation (meta-GGA SCAN) of a PBEsol-optimized structure of MgCdAu.

## Properties
Energy of formation: -43 kJ per mole of atoms

Unit cell a=6.4090 b=6.4090 c=6.4090 alpha=90.00 beta=90.00 gamma=90.00
Last column: nearest neighbours and their distance in Å.
Space group F-43m (No. 216)
Symmetry-distinct sites (fractional):
Mg (0.0000, 0.0000, 0.0000) (multiplicity 4)  4 Au 2.78
Cd (0.0000, 0.0000, 0.5000) (multiplicity 4)  4 Au 2.78
Au (0.2500, 0.2500, 0.2500) (multiplicity 4)  4 Cd 2.78, 4 Mg 2.78

The following is a DFT calculation (meta-GGA SCAN) of a PBEsol-optimized structure of AlTcRu.

## Properties
Energy of formation: -33 kJ per mole of atoms

Unit cell a=2.7899 b=3.6489 c=8.0605 alpha=90.00 beta=90.00 gamma=90.00
Last column: nearest neighbours and their distance in Å.
Space group Imm2 (No. 44)
Symmetry-distinct sites (fractional):
Al (0.0000, 0.0000, 0.0000) (multiplicity 2)  5 Tc 2.65-2.68, 5 Ru 2.66-2.69, 2 Al 2.79
Tc (0.0000, 0.0000, 0.3292) (multiplicity 2)  5 Ru 2.65-2.72, 5 Al 2.65-2.68, 2 Tc 2.79
Ru (0.0000, 0.0000, 0.6663) (multiplicity 2)  5 Tc 2.65-2.72, 5 Al 2.66-2.69, 2 Ru 2.79

The following is a DFT calculation (meta-GGA SCAN) of a PBEsol-optimized structure of Cs2RbGa2.

## Properties
Energy of formation: 14 kJ per mole of atoms

Unit cell a=4.0386 b=4.0386 c=29.9597 alpha=90.00 beta=90.00 gamma=90.00
Last column: nearest neighbours and their distance in Å.
Space group I4/mmm (No. 139)
Symmetry-distinct sites (fractional):
Cs (0.0000, 0.0000, 0.1445) (multiplicity 4)  4 Ga 3.75, 4 Cs 4.04
Rb (0.0000, 0.0000, 0.5000) (multiplicity 2)  4 Rb 4.04
Ga (0.0000, 0.5000, 0.2500) (multiplicity 4)  4 Ga 2.86

The following is a DFT calculation (meta-GGA SCAN) of a PBEsol-optimized structure of TeBr.

## Properties
Uncorrected formation energy: 0.123 eV per formula unit

Unit cell a=3.7490 b=4.0030 c=8.3268 alpha=90.00 beta=90.00 gamma=90.00
Last column: nearest neighbours and their distance in Å.
Space group Pmmn (No. 59, origin choice 2)
Symmetry-distinct sites (fractional):
Te (0.2500, 0.2500, 0.0911) (multiplicity 2)  2 Br 2.92, 4 Te 3.13
Br (0.2500, 0.7500, 0.3467) (multiplicity 2)  2 Te 2.92

The following is a DFT calculation (meta-GGA SCAN) of a PBEsol-optimized structure of CrBiIN2.

## Properties
Uncorrected formation energy: 7.555 eV per formula unit

Unit cell a=4.2426 b=4.2426 c=6.7964 alpha=90.00 beta=90.00 gamma=90.00
Last column: nearest neighbours and their distance in Å.
Space group P4/mmm (No. 123)
Symmetry-distinct sites (fractional):
Cr (0.0000, 0.0000, 0.0000) (multiplicity 1)  4 I 3.00
Bi (0.5000, 0.5000, 0.5000) (multiplicity 1)  4 N 2.12
I (0.5000, 0.5000, 0.0000) (multiplicity 1)  4 Cr 3.00
N (0.0000, 0.5000, 0.5000) (multiplicity 2)  2 Bi 2.12

The following is a DFT calculation (meta-GGA SCAN) of a PBEsol-optimized structure of P2OsPb.

## Properties
Energy of formation: 60 kJ per mole of atoms

Unit cell a=3.0184 b=5.1877 c=9.2259 alpha=90.00 beta=90.00 gamma=90.00
Last column: nearest neighbours and their distance in Å.
Space group Cmmm (No. 65)
Symmetry-distinct sites (fractional):
P (0.0000, 0.0000, 0.2010) (multiplicity 4)  2 Os 2.39
Os (0.0000, 0.5000, 0.0000) (multiplicity 2)  4 P 2.39
Pb (0.0000, 0.5000, 0.5000) (multiplicity 2)  6 Pb 3.00-3.02, 4 P 3.14

The following is a DFT calculation (meta-GGA SCAN) of a PBEsol-optimized structure of HfSi2Bi.

## Properties
Uncorrected formation energy: 2.296 eV per formula unit

Unit cell a=6.1268 b=6.1268 c=12.5278 alpha=90.00 beta=90.00 gamma=90.00
Last column: nearest neighbours and their distance in Å.
Space group I-42d (No. 122)
Symmetry-distinct sites (fractional):
Hf (0.0000, 0.0000, 0.0000) (multiplicity 4)  4 Si 2.61
Si (0.2309, 0.2500, 0.1250) (multiplicity 8)  2 Hf 2.61, 2 Bi 2.74
Bi (0.0000, 0.0000, 0.5000) (multiplicity 4)  4 Si 2.74